# PmEr2TiN4 PBE relaxed
data_PmEr2TiN4
_space_group_name_H-M_alt 'C m c m'
_space_group_IT_number 63
_space_group_name_Hall '-C 2c 2'
_cell_length_a 3.3892
_cell_length_b 11.7029
_cell_length_c 11.7921
_cell_angle_alpha 90.00
_cell_angle_beta 90.00
_cell_angle_gamma 90.00
loop_
_atom_site_label
_atom_site_type_symbol
_atom_site_fract_x
_atom_site_fract_y
_atom_site_fract_z
Pm1 Pm 0.0000 0.0985 0.2500
Er1 Er 0.0000 0.3705 0.0389
Ti1 Ti 0.0000 0.1644 0.7500
N1 N 0.0000 0.0000 0.0000
N2 N 0.0000 0.2623 0.6228
N3 N 0.0000 0.4335 0.2500
# density	8.3	Mg/m³
# total magnetic moment	0.0	μB per cell
# total energy	-8.389	eV/atom
# raw formation energy	-1505	meV per atom

# PmErTiN3 PBE relaxed
data_PmErTiN3
_space_group_name_H-M_alt 'P 1 21/m 1'
_space_group_IT_number 11
_cell_length_a 7.1544
_cell_length_b 3.5302
_cell_length_c 7.7322
_cell_angle_alpha 90.00
_cell_angle_beta 98.47
_cell_angle_gamma 90.00
loop_
_space_group_symop_operation_xyz
'x,y,z'
'-x,-y,-z'
'-x,y+1/2,-z'
'x,-y+1/2,z'
loop_
_atom_site_label
_atom_site_type_symbol
_atom_site_fract_x
_atom_site_fract_y
_atom_site_fract_z
Pm1 Pm 0.1703 0.2500 0.1704
Er1 Er 0.3665 0.7500 0.8459
Ti1 Ti 0.1040 0.2500 0.5979
N1 N 0.1139 0.2500 0.8504
N2 N 0.1748 0.7500 0.5176
N3 N 0.4058 0.7500 0.1396
# density	6.9	Mg/m³
# total magnetic moment	0.0	μB per cell
# total energy	-8.372	eV/atom
# raw formation energy	-1342	meV per atom

# PmEr2TlN PBE relaxed
data_PmEr2TlN
_space_group_name_H-M_alt 'P 4/m m m'
_space_group_IT_number 123
_space_group_name_Hall '-P 4 2'
_cell_length_a 4.7827
_cell_length_b 4.7827
_cell_length_c 4.9771
_cell_angle_alpha 90.00
_cell_angle_beta 90.00
_cell_angle_gamma 90.00
loop_
_atom_site_label
_atom_site_type_symbol
_atom_site_fract_x
_atom_site_fract_y
_atom_site_fract_z
Pm1 Pm 0.0000 0.0000 0.0000
Er1 Er 0.0000 0.5000 0.5000
Tl1 Tl 0.5000 0.5000 0.0000
N1 N 0.0000 0.0000 0.5000
# density	10.2	Mg/m³
# total magnetic moment	0.0	μB per cell
# total energy	-5.821	eV/atom
# raw formation energy	-907	meV per atom

# Pm3Er2UN6 PBE relaxed
data_Pm3Er2UN6
_space_group_name_H-M_alt 'C 1 2/m 1'
_space_group_IT_number 12
_cell_length_a 6.0506
_cell_length_b 10.4684
_cell_length_c 6.1202
_cell_angle_alpha 90.00
_cell_angle_beta 109.21
_cell_angle_gamma 90.00
loop_
_space_group_symop_operation_xyz
'x,y,z'
'-x,-y,-z'
'-x,y,-z'
'x,-y,z'
'x+1/2,y+1/2,z'
'-x+1/2,-y+1/2,-z'
'-x+1/2,y+1/2,-z'
'x+1/2,-y+1/2,z'
loop_
_atom_site_label
_atom_site_type_symbol
_atom_site_fract_x
_atom_site_fract_y
_atom_site_fract_z
Pm1 Pm 0.0000 0.0000 0.0000
Pm2 Pm 0.0000 0.3317 0.0000
Er1 Er 0.0000 0.1662 0.5000
U1 U 0.0000 0.5000 0.5000
N1 N 0.2317 0.3428 0.7235
N2 N 0.2399 0.5000 0.2759
# density	9.9	Mg/m³
# total magnetic moment	0.7	μB per cell
# total energy	-8.638	eV/atom
# raw formation energy	-1587	meV per atom